Density functional theory data (PBE-GGA) for a relaxed structure of Cd2In2Hg15.

Cell lengths 8.7462, 8.7462, 8.7462 Å; angles 65.77, 65.77, 65.77 degrees
Element x y z (fractional)
Cd 0.9092 0.9092 0.9092
Cd 0.0908 0.0908 0.0908
In 0.7092 0.7092 0.7092
In 0.2908 0.2908 0.2908
Hg 0.0000 0.5000 0.0000
Hg 0.0000 0.0000 0.5000
Hg 0.5000 0.0000 0.0000
Hg 0.3089 0.0000 0.6911
Hg 0.6911 0.3089 0.0000
Hg 0.0000 0.6911 0.3089
Hg 0.3089 0.6911 0.0000
Hg 0.0000 0.3089 0.6911
Hg 0.6911 0.0000 0.3089
Hg 0.4170 0.8162 0.4170
Hg 0.4170 0.4170 0.8162
Hg 0.8162 0.4170 0.4170
Hg 0.5830 0.1838 0.5830
Hg 0.5830 0.5830 0.1838
Hg 0.1838 0.5830 0.5830

Formation energy: 0.053 eV/atom
Space-group type: R-3m (166)
Density: 10.8 g/cm3
Electronic total energy: -0.5694 eV/atom
DOS at the Fermi energy: 0.299 states/eV per atom

***

Density functional theory data (PBE-GGA) for a relaxed structure of Cd4InHg.

Cell lengths 5.9528, 5.9528, 5.9528 Å; angles 60.00, 60.00, 60.00 degrees
Element x y z (fractional)
Cd 0.1254 0.6249 0.6249
Cd 0.6249 0.6249 0.6249
Cd 0.6249 0.1254 0.6249
Cd 0.6249 0.6249 0.1254
Hg 0.2500 0.2500 0.2500
In 0.0000 0.0000 0.0000

Formation energy: 0.063 eV/atom
Space-group type: F-43m (216)
Density: 8.5 g/cm3
Electronic total energy: -1.0539 eV/atom
DOS at the Fermi energy: 0.392 states/eV per atom

***

Density functional theory data (PBE-GGA) for a relaxed structure of CdIn6Hg2.

Cell lengths 5.8569, 9.5857, 9.5857 Å; angles 71.93, 106.78, 106.78 degrees
Element x y z (fractional)
Cd 0.2500 0.1316 0.8684
Cd 0.7500 0.8684 0.1316
In 0.4667 0.5605 0.3210
In 0.0333 0.6790 0.4395
In 0.5333 0.4395 0.6790
In 0.9667 0.3210 0.5605
In 0.8698 0.1030 0.3419
In 0.6302 0.6581 0.8970
In 0.1302 0.8970 0.6581
In 0.3698 0.3419 0.1030
In 0.1972 0.7713 0.0112
In 0.3028 0.9888 0.2287
In 0.8028 0.2287 0.9888
In 0.6972 0.0112 0.7713
Hg 0.0826 0.5364 0.7975
Hg 0.4174 0.2025 0.4636
Hg 0.9174 0.4636 0.2025
Hg 0.5826 0.7975 0.5364

Formation energy: 0.025 eV/atom
Space-group type: C2/c (15)
Density: 8.4 g/cm3
Electronic total energy: -1.9698 eV/atom
DOS at the Fermi energy: 0.396 states/eV per atom

***

Density functional theory data (PBE-GGA) for a relaxed structure of Cd7In4Hg.

Cell lengths 3.3369, 3.3369, 30.2880 Å; angles 90.00, 90.00, 120.00 degrees
Element x y z (fractional)
Cd 0.0000 0.0000 0.0000
Cd 0.3333 0.6667 0.4186
Cd 0.6667 0.3333 0.5814
Cd 0.3333 0.6667 0.1685
Cd 0.6667 0.3333 0.8315
Cd 0.0000 0.0000 0.7511
Cd 0.0000 0.0000 0.2489
In 0.3333 0.6667 0.9159
In 0.6667 0.3333 0.0841
In 0.3333 0.6667 0.6665
In 0.6667 0.3333 0.3335
Hg 0.0000 0.0000 0.5000

Formation energy: 0.025 eV/atom
Space-group type: P-3m1 (164)
Density: 8.2 g/cm3
Electronic total energy: -1.4467 eV/atom
DOS at the Fermi energy: 0.335 states/eV per atom

***

Density functional theory data (PBE-GGA) for a relaxed structure of CdIn2Hg.

Cell lengths 6.8273, 6.8273, 6.8273 Å; angles 152.52, 56.36, 131.82 degrees
Element x y z (fractional)
Cd 0.0000 0.0000 0.0000
In 0.7493 0.0000 0.7493
In 0.2507 0.0000 0.2507
Hg 0.5000 0.0000 0.5000

Formation energy: 0.046 eV/atom
Space-group type: Immm (71)
Density: 8.3 g/cm3
Electronic total energy: -1.6271 eV/atom
DOS at the Fermi energy: 0.361 states/eV per atom

***

Density functional theory data (PBE-GGA) for a relaxed structure of Cd8In2Hg.

Cell lengths 4.4277, 7.4628, 8.3746 Å; angles 103.01, 105.33, 90.00 degrees
Element x y z (fractional)
Cd 0.5883 0.4556 0.1767
Cd 0.3193 0.0906 0.6387
Cd 0.1333 0.1740 0.2666
Cd 0.0437 0.7269 0.0875
Cd 0.8667 0.8260 0.7334
Cd 0.6807 0.9094 0.3613
Cd 0.4117 0.5444 0.8233
Cd 0.9563 0.2731 0.9125
In 0.2279 0.6430 0.4559
In 0.7721 0.3570 0.5441
Hg 0.5000 0.0000 0.0000

Formation energy: 0.021 eV/atom
Space-group type: C2/m (12)
Density: 8.5 g/cm3
Electronic total energy: -1.1697 eV/atom
DOS at the Fermi energy: 0.294 states/eV per atom

***

Density functional theory data (PBE-GGA) for a relaxed structure of Cd2In3Hg4.

Cell lengths 3.3121, 3.3121, 24.7266 Å; angles 90.00, 90.00, 120.00 degrees
Element x y z (fractional)
Cd 0.6667 0.3333 0.0896
Cd 0.6667 0.3333 0.8729
In 0.0000 0.0000 0.9815
In 0.0000 0.0000 0.3200
In 0.6667 0.3333 0.6584
Hg 0.0000 0.0000 0.5437
Hg 0.6667 0.3333 0.4338
Hg 0.6667 0.3333 0.2079
Hg 0.0000 0.0000 0.7694

Formation energy: 0.036 eV/atom
Space-group type: P3m1 (156)
Density: 9.7 g/cm3
Electronic total energy: -1.2145 eV/atom
DOS at the Fermi energy: 0.334 states/eV per atom

***

Density functional theory data (PBE-GGA) for a relaxed structure of Cd6InHg6.

Cell lengths 6.1043, 6.1043, 10.1168 Å; angles 90.00, 90.00, 119.99 degrees
Element x y z (fractional)
Cd 0.0000 0.5000 0.7505
Cd 0.5000 0.0000 0.7505
Cd 0.5000 0.5000 0.7504
Cd 0.5000 0.0000 0.2495
Cd 0.0000 0.5000 0.2495
Cd 0.5000 0.5000 0.2496
In 0.0000 0.0000 0.0000
Hg 0.0000 0.0000 0.6500
Hg 0.0000 0.0000 0.3500
Hg 0.3333 0.6667 0.0000
Hg 0.6667 0.3333 0.0000
Hg 0.3333 0.6667 0.5000
Hg 0.6667 0.3333 0.5000

Formation energy: 0.040 eV/atom
Space-group type: P6/mmm (191)
Density: 10.1 g/cm3
Electronic total energy: -0.7320 eV/atom
DOS at the Fermi energy: 0.482 states/eV per atom